SrMoOF2 | PBE+U | relaxed

Results
- calculated volume (Å³ per cell) = 85.3
- VASP energy (eV/atom) = -5.612

Cell lengths 4.464, 4.464, 4.282 Å; angles 90.00, 90.00, 90.00 degrees
Space group P4/mmm (No. 123)
Unique sites:
Sr (0.000, 0.000, 0.000) x1
Mo (0.500, 0.500, 0.500) x1
O (0.500, 0.500, 0.000) x1
F (0.000, 0.500, 0.500) x2